BaTc2AsPb (GGA-PBE, optimized geometry); total DFT energy (no corrections) = -5.466 eV per atom; magnetization = 2.41 μB per cell; formation enthalpy at 0 K = 3.7 eV per formula unit
1.0
-3.251 0.160 -3.442
-3.100 -4.246 2.731
-2.393 3.299 2.414
As Tc Ba Pb
1 2 1 1
direct
0.000 0.000 0.000 As
0.000 0.000 0.500 Tc
0.500 0.000 0.000 Tc
0.000 0.500 0.000 Ba
0.500 0.500 0.500 Pb



BaTlAsPb (GGA-PBE, optimized geometry); energy relative to the lowest polymorph listed for this composition = 1 kJ/mol of formula units; total DFT energy (no corrections) = -3.620 eV per atom; magnetization = 0.00 μB per cell; formation enthalpy at 0 K = -1.8 eV per formula unit
1.0
-2.978 -1.906 -3.054
-2.094 -2.321 3.494
-6.485 2.946 1.139
Ba Pb As Tl
1 1 1 1
direct
0.680 0.402 0.214 Ba
0.007 0.705 0.627 Pb
0.181 0.906 0.203 As
0.439 0.135 0.769 Tl



BaTlAsPb (GGA-PBE, optimized geometry); energy relative to the lowest polymorph listed for this composition = 38 kJ/mol of formula units; total DFT energy (no corrections) = -3.526 eV per atom; magnetization = 0.00 μB per cell; formation enthalpy at 0 K = -1.5 eV per formula unit
1.0
5.451 0.092 0.052
2.527 4.831 0.078
1.388 0.824 5.731
As Tl Pb Ba
1 1 1 1
direct
0.711 0.327 0.810 As
0.802 0.418 0.262 Tl
0.475 0.090 0.217 Pb
0.072 0.688 0.672 Ba



BaTlAs2Pb (GGA-PBE, optimized geometry); total DFT energy (no corrections) = -3.887 eV per atom; magnetization = 0.00 μB per cell; formation enthalpy at 0 K = -2.1 eV per formula unit
1.0
5.098 0.000 0.000
2.549 8.374 1.208
2.549 2.498 8.074
As Pb Tl Ba
4 2 2 2
direct
0.121 0.711 0.048 As
0.371 0.790 0.467 As
0.879 0.289 0.952 As
0.629 0.210 0.533 As
0.921 0.912 0.245 Pb
0.079 0.088 0.755 Pb
0.574 0.590 0.261 Tl
0.426 0.410 0.739 Tl
0.249 0.258 0.243 Ba
0.751 0.742 0.757 Ba



Copy entry 2 word for word.
BaTlAsPb (GGA-PBE, optimized geometry); energy relative to the lowest polymorph listed for this composition = 1 kJ/mol of formula units; total DFT energy (no corrections) = -3.620 eV per atom; magnetization = 0.00 μB per cell; formation enthalpy at 0 K = -1.8 eV per formula unit
1.0
-2.978 -1.906 -3.054
-2.094 -2.321 3.494
-6.485 2.946 1.139
Ba Pb As Tl
1 1 1 1
direct
0.680 0.402 0.214 Ba
0.007 0.705 0.627 Pb
0.181 0.906 0.203 As
0.439 0.135 0.769 Tl



Please write out number 3 again, unchanged.
BaTlAsPb (GGA-PBE, optimized geometry); energy relative to the lowest polymorph listed for this composition = 38 kJ/mol of formula units; total DFT energy (no corrections) = -3.526 eV per atom; magnetization = 0.00 μB per cell; formation enthalpy at 0 K = -1.5 eV per formula unit
1.0
5.451 0.092 0.052
2.527 4.831 0.078
1.388 0.824 5.731
As Tl Pb Ba
1 1 1 1
direct
0.711 0.327 0.810 As
0.802 0.418 0.262 Tl
0.475 0.090 0.217 Pb
0.072 0.688 0.672 Ba



> Look up the formation enthalpy at 0 K of the fourth one.

-2.1 eV per formula unit



> Which of these has the highest total DFT energy (no corrections)?

number 3